Record 1
Density functional theory data (PBE) for Tb6PdSe2S3 after structural relaxation.

Values from the calculation:
* formation energy from raw total energies: -1.722 eV per atom
* DOS(E_F): 0.401 states/eV/atom
* total DFT energy (no corrections): -0.22351 Ha/atom

Cell lengths 17.5952, 3.9569, 8.1318 Å; angles 90.00, 103.40, 90.00 degrees
Last column: nearest neighbours and their distance in Å.
Space group C2/m (No. 12)
One atom of each set of equivalent atoms:
Tb (0.0033, 0.0000, 0.2516) x4  3 S 2.83-2.84, 2 Pd 2.84, 1 Se 2.93
Tb (0.1625, 0.5000, 0.0944) x4  3 S 2.76-2.78, 3 Se 2.90-2.91
Tb (0.1690, 0.5000, 0.5746) x4  3 S 2.78, 1 Pd 2.89, 2 Se 2.91
Pd (0.0000, 0.5000, 0.5000) x2  6 Tb 2.84-2.89
Se (0.1676, 0.0000, 0.8369) x4  6 Tb 2.90-2.93
S (0.0000, 0.5000, 0.0000) x2  6 Tb 2.78-2.84
S (0.1688, 0.0000, 0.3344) x4  6 Tb 2.76-2.83

=====

Record 2
Density functional theory data (PBE) for TePdSeS after structural relaxation.

Values from the calculation:
* formation energy from raw total energies: -0.071 eV per atom
* DOS(E_F): 0.129 states/eV/atom
* total DFT energy (no corrections): -0.14913 Ha/atom

Cell lengths 7.7839, 3.9037, 6.7708 Å; angles 90.00, 100.14, 90.00 degrees
Last column: nearest neighbours and their distance in Å.
Space group Cm (No. 8)
One atom of each set of equivalent atoms:
Te (0.0000, 0.0000, 0.0000) x2  1 S 2.49, 2 Pd 2.67
Pd (0.1084, 0.5000, 0.7833) x2  2 Se 2.49, 2 Te 2.67
Se (0.0832, 0.0000, 0.5509) x2  1 S 2.24, 2 Pd 2.49
S (0.2368, 0.0000, 0.3001) x2  1 Se 2.24, 1 Te 2.49

=====

Record 3
Density functional theory data (PBE) for Tm4PdSe2S after structural relaxation.

Values from the calculation:
* formation energy from raw total energies: -1.520 eV per atom
* DOS(E_F): 0.545 states/eV/atom
* total DFT energy (no corrections): -0.21285 Ha/atom

Cell lengths 6.9842, 3.9098, 7.0092 Å; angles 90.00, 108.79, 90.00 degrees
Last column: nearest neighbours and their distance in Å.
Space group P2/m (No. 10)
One atom of each set of equivalent atoms:
Tm (0.2325, 0.0000, 0.2425) x2  2 Pd 2.75, 1 S 2.79, 3 Se 2.90
Tm (0.2359, 0.5000, 0.7428) x2  2 S 2.76, 1 Pd 2.81, 3 Se 2.88-2.89
Pd (0.0000, 0.5000, 0.0000) x1  6 Tm 2.75-2.81
Se (0.5000, 0.0000, 0.0000) x1  6 Tm 2.89-2.90
Se (0.5000, 0.5000, 0.5000) x1  6 Tm 2.88-2.90
S (0.0000, 0.0000, 0.5000) x1  6 Tm 2.76-2.79

=====

Record 4
Density functional theory data (PBE) for U2PdSe4S after structural relaxation.

Values from the calculation:
* formation energy from raw total energies: -0.963 eV per atom
* DOS(E_F): 1.533 states/eV/atom
* total DFT energy (no corrections): -0.24595 Ha/atom

Cell lengths 11.8124, 3.8667, 7.9940 Å; angles 90.00, 108.68, 90.00 degrees
Last column: nearest neighbours and their distance in Å.
Space group C2/m (No. 12)
One atom of each set of equivalent atoms:
U (0.1562, 0.0000, 0.1853) x4  2 S 2.75, 5 Se 2.85-2.97
Pd (0.0000, 0.0000, 0.5000) x2  6 Se 2.63-2.69
Se (0.1386, 0.5000, 0.4552) x4  2 Pd 2.63
Se (0.1683, 0.0000, 0.8201) x4  1 Pd 2.69, 3 U 2.85-2.97
S (0.0000, 0.5000, 0.0000) x2  4 U 2.75

=====

Record 5
Density functional theory data (PBE) for UPdSeS after structural relaxation.

Values from the calculation:
* formation energy from raw total energies: -0.879 eV per atom
* DOS(E_F): 1.054 states/eV/atom
* total DFT energy (no corrections): -0.25366 Ha/atom

Cell lengths 4.0484, 4.0484, 19.0572 Å; angles 90.00, 90.00, 120.00 degrees
Last column: nearest neighbours and their distance in Å.
Space group R3m (No. 160, hexagonal axes)
One atom of each set of equivalent atoms:
U (0.0000, 0.0000, 0.0000) x3  3 S 2.76, 3 Se 2.86
Pd (0.0000, 0.0000, 0.5552) x3  3 S 2.43
Se (0.0000, 0.0000, 0.7530) x3  3 U 2.86
S (0.0000, 0.0000, 0.2561) x3  3 Pd 2.43

=====

Record 6
Density functional theory data (PBE) for UPdSeS2 after structural relaxation.

Values from the calculation:
* formation energy from raw total energies: -0.854 eV per atom
* DOS(E_F): 1.145 states/eV/atom
* total DFT energy (no corrections): -0.23880 Ha/atom

Cell lengths 6.7278, 3.7731, 8.6140 Å; angles 90.00, 111.77, 90.00 degrees
Last column: nearest neighbours and their distance in Å.
Space group P2_1/m (No. 11)
One atom of each set of equivalent atoms:
U (0.2146, 0.2500, 0.2161) x2  5 S 2.65-2.79
Pd (0.2196, 0.7500, 0.7012) x2  3 S 2.53, 2 Se 2.61
Se (0.4298, 0.2500, 0.6175) x2  2 Pd 2.61
S (0.0476, 0.7500, 0.3461) x2  2 Pd 2.53, 2 U 2.65
S (0.2164, 0.7500, 0.9943) x2  1 Pd 2.53, 3 U 2.69-2.79

=====

Record 7
Density functional theory data (PBE) for VPdSeS after structural relaxation.

Values from the calculation:
* formation energy from raw total energies: -0.463 eV per atom
* DOS(E_F): 0.961 states/eV/atom
* total DFT energy (no corrections): -0.21842 Ha/atom

Cell lengths 3.2231, 3.2231, 22.4415 Å; angles 90.00, 90.00, 120.00 degrees
Last column: nearest neighbours and their distance in Å.
Space group R3m (No. 160, hexagonal axes)
One atom of each set of equivalent atoms:
V (0.0000, 0.0000, 0.0000) x3  3 S 2.37, 3 Se 2.47
Pd (0.0000, 0.0000, 0.5153) x3  1 Se 2.46, 3 S 2.68
Se (0.0000, 0.0000, 0.4058) x3  1 Pd 2.46, 3 V 2.47
S (0.0000, 0.0000, 0.2677) x3  3 V 2.37

=====

Record 8
Density functional theory data (PBE) for Y6PdSe2S3 after structural relaxation.

Values from the calculation:
* formation energy from raw total energies: -1.716 eV per atom
* DOS(E_F): 0.413 states/eV/atom
* total DFT energy (no corrections): -0.25701 Ha/atom

Cell lengths 17.5589, 3.9533, 8.1113 Å; angles 90.00, 103.41, 90.00 degrees
Last column: nearest neighbours and their distance in Å.
Space group C2/m (No. 12)
One atom of each set of equivalent atoms:
Y (0.0036, 0.0000, 0.2509) x4  3 S 2.83, 2 Pd 2.84, 1 Se 2.92
Y (0.1626, 0.5000, 0.0942) x4  3 S 2.76-2.78, 3 Se 2.89-2.90
Y (0.1684, 0.5000, 0.5743) x4  3 S 2.77-2.78, 1 Pd 2.88, 2 Se 2.91
Pd (0.0000, 0.5000, 0.5000) x2  6 Y 2.84-2.88
Se (0.1676, 0.0000, 0.8370) x4  6 Y 2.89-2.92
S (0.0000, 0.5000, 0.0000) x2  6 Y 2.78-2.83
S (0.1693, 0.0000, 0.3344) x4  6 Y 2.76-2.83

=====

What did the sixth record say?
Density functional theory data (PBE) for UPdSeS2 after structural relaxation.

Values from the calculation:
* formation energy from raw total energies: -0.854 eV per atom
* DOS(E_F): 1.145 states/eV/atom
* total DFT energy (no corrections): -0.23880 Ha/atom

Cell lengths 6.7278, 3.7731, 8.6140 Å; angles 90.00, 111.77, 90.00 degrees
Last column: nearest neighbours and their distance in Å.
Space group P2_1/m (No. 11)
One atom of each set of equivalent atoms:
U (0.2146, 0.2500, 0.2161) x2  5 S 2.65-2.79
Pd (0.2196, 0.7500, 0.7012) x2  3 S 2.53, 2 Se 2.61
Se (0.4298, 0.2500, 0.6175) x2  2 Pd 2.61
S (0.0476, 0.7500, 0.3461) x2  2 Pd 2.53, 2 U 2.65
S (0.2164, 0.7500, 0.9943) x2  1 Pd 2.53, 3 U 2.69-2.79

=====

> Number 8 is which compound?

Y6PdSe2S3

=====

Copy entry 2 word for word.
Density functional theory data (PBE) for TePdSeS after structural relaxation.

Values from the calculation:
* formation energy from raw total energies: -0.071 eV per atom
* DOS(E_F): 0.129 states/eV/atom
* total DFT energy (no corrections): -0.14913 Ha/atom

Cell lengths 7.7839, 3.9037, 6.7708 Å; angles 90.00, 100.14, 90.00 degrees
Last column: nearest neighbours and their distance in Å.
Space group Cm (No. 8)
One atom of each set of equivalent atoms:
Te (0.0000, 0.0000, 0.0000) x2  1 S 2.49, 2 Pd 2.67
Pd (0.1084, 0.5000, 0.7833) x2  2 Se 2.49, 2 Te 2.67
Se (0.0832, 0.0000, 0.5509) x2  1 S 2.24, 2 Pd 2.49
S (0.2368, 0.0000, 0.3001) x2  1 Se 2.24, 1 Te 2.49

=====

> Which of these has the lowest formation energy from raw total energies?

Tb6PdSe2S3